Material: BaPaIrO6
Method: DFT, PBE-GGA
State: optimized geometry

For the raw formation energy, the calculation gives -2.29 eV per atom.

The space group is Imma (No. 74) and the conventional cell measures 7.1419, 7.4925 and 10.0423 Å, with angles of 90.00, 90.00 and 90.00 degrees. The asymmetric unit holds Ba at (0.0000, 0.2500, 0.0836), Pa at (0.0000, 0.0000, 0.5000), Ir at (0.2500, 0.2500, 0.7500), O at (0.0000, 0.2500, 0.3898), O at (0.0000, 0.2500, 0.6650) and O at (0.2243, 0.0620, 0.8860).